Density functional theory data (PBE+U) for a relaxed structure of CsVF3.

Summary:
- Uncorrected energy: -5.263 eV per atom
- Magnetic moment: 6.00 μB per cell

a b c (Å): 9.362 9.362 5.196
angles (deg): 90.00 90.00 140.82
Element x y z (fractional)
Cs1 0.182 0.818 0.750
Cs2 0.818 0.182 0.250
V1 0.412 0.588 0.750
V2 0.588 0.412 0.250
F1 0.109 0.447 0.750
F2 0.447 0.109 0.250
F3 0.500 0.500 0.000
F4 0.500 0.500 0.500
F5 0.553 0.891 0.750
F6 0.891 0.553 0.250